The following is a GGA+U calculation of a geometry-optimized Na2ZrCoP4O14 structure, from Alexandria via LeMat-Bulk.

Cell lengths 6.6255, 6.6110, 7.0483 Å; angles 66.03, 85.38, 81.94 degrees
Closest atoms and distances in Å follow each position.
Positions (direct):
O (0.9270, 0.1310, 0.6937)  1 P 1.57
O (0.7449, 0.4859, 0.4210)  1 P 1.52
Zr (0.0086, 0.9704, 0.0064)  6 O 2.07-2.17
O (0.1326, 0.5289, 0.6873)  2 P 1.59-1.62
P (0.7298, 0.2427, 0.5636)  4 O 1.51-1.63
O (0.3711, 0.8161, 0.4827)  1 P 1.53
P (0.9700, 0.5360, 0.8640)  4 O 1.52-1.59
P (0.4933, 0.1167, 0.9738)  4 O 1.49-1.60
O (0.6848, 0.9496, 0.0773)  1 P 1.57
Na (0.2372, 0.1880, 0.3823)  3 O 2.21-2.33
O (0.4220, 0.2789, 0.0687)  1 P 1.49
O (0.0238, 0.8381, 0.3425)  1 P 1.59
Co (0.6882, 0.7848, 0.4668)  4 O 2.05-2.11
O (0.0469, 0.6695, 0.9735)  1 P 1.54
O (0.2951, 0.5188, 0.3589)  1 P 1.49
Na (0.5389, 0.5735, 0.0953)  3 O 2.27-2.51
O (0.6691, 0.1049, 0.4556)  1 P 1.51
P (0.2175, 0.6773, 0.4575)  4 O 1.49-1.62
O (0.5526, 0.2498, 0.7350)  2 P 1.60-1.63
O (0.9728, 0.2899, 0.0159)  1 P 1.54
O (0.7609, 0.6385, 0.7742)  1 P 1.52
O (0.3251, 0.9741, 0.9706)  1 P 1.56

Calculated values
The calculation puts the electronic total energy at -7.18 eV per atom.